Below is crystalline Fe3AuO at its relaxed geometry, with properties calculated at the GGA+U level.

Computed properties:
**V**: 13.8 Å³/atom
**DOS(E_F)**: 0.89 states/eV/atom
**Total energy**: -24.33 eV for the cell shown

Cell: 4.104 4.104 4.104 Å, 90.00 90.00 90.00°
Each line ends with the local moment (μB).
Sites, in units of the cell vectors:
Fe1 0.500 0.000 0.000  3.79
O1 0.000 0.000 0.000  0.20
Au1 0.500 0.500 0.500  0.03
Fe2 0.000 0.000 0.500  3.62
Fe3 0.000 0.500 0.000  3.64